VASP calculation (PBE) on an optimized crystal structure of KFeP2.

```
KFeP2
1.0
3.122 0.000 0.000
0.000 3.122 0.000
0.000 0.000 7.399
P Fe K
2 1 1
Direct
0.500 0.500 0.292
0.000 0.000 0.074
0.000 0.000 0.375
0.500 0.500 0.759
```

Computed properties:
As for the space group: No. 99. The calculation puts the energy relative to the elements at 0.19 eV per atom. As for the distance to the lowest polymorph of the same formula: 171 kJ/mol of formula units. The volume is 18.035 A^3/atom.

---

VASP calculation (PBE) on an optimized crystal structure of Zr2CoPdBr.

```
Zr2CoPdBr
1.0
4.851 0.000 0.000
0.000 4.453 0.000
0.000 0.000 4.851
Zr Co Br Pd
2 1 1 1
Direct
0.000 0.000 0.500
0.500 0.000 0.000
0.000 0.000 0.000
0.000 0.500 0.000
0.500 0.500 0.500
```

Computed properties:
The final energy is -5.847 eV per atom. As for the space group: No. 123. The volume is 20.960 A^3/atom.

---

VASP calculation (PBE) on an optimized crystal structure of CrPtPb.

```
CrPtPb
1.0
4.675 0.000 0.000
-2.338 4.049 0.000
0.000 0.000 3.072
Pt Cr Pb
1 1 1
Direct
0.333 0.667 0.503
0.000 0.000 0.999
0.667 0.333 0.497
```

Computed properties:
As for the space group: No. 156. The calculation puts the energy relative to the elements at 0.27 eV per atom. As for the distance to the lowest polymorph of the same formula: 33 kJ/mol of formula units. The volume is 19.386 A^3/atom.

---

VASP calculation (PBE) on an optimized crystal structure of HoAl3NiAu.

```
HoAl3NiAu
1.0
-2.334 5.284 0.111
-4.505 -1.914 -3.628
-1.060 -0.610 6.753
Au Ho Ni Al
2 2 2 6
Direct
0.750 0.656 0.312
0.250 0.344 0.688
0.250 0.722 0.444
0.750 0.278 0.556
0.750 0.068 0.136
0.250 0.932 0.864
0.000 0.716 0.000
0.500 0.284 0.000
0.250 0.134 0.268
0.750 0.866 0.732
0.500 0.716 0.000
0.000 0.284 0.000
```

Computed properties:
As for the space group: No. 63. The calculation puts the energy relative to the elements at -0.46 eV per atom. The volume is 18.040 A^3/atom.

---

VASP calculation (PBE) on an optimized crystal structure of Dy3Y3MgS8.

```
Dy3Y3MgS8
1.0
7.780 0.000 0.000
-3.890 6.738 -0.023
0.000 -4.470 6.376
S Dy Y Mg
8 3 3 1
Direct
0.759 0.518 0.260
0.750 0.499 0.749
0.250 0.501 0.251
0.758 0.999 0.740
0.241 0.482 0.740
0.241 0.999 0.740
0.242 0.001 0.260
0.759 0.001 0.260
0.500 0.500 0.500
0.500 0.000 0.500
0.000 0.500 0.500
0.000 0.000 0.000
0.000 0.500 0.000
0.500 0.500 0.000
0.000 0.000 0.500
```

Computed properties:
The final energy is -6.500 eV per atom. As for the space group: No. 166. The volume is 22.226 A^3/atom.

---

VASP calculation (PBE) on an optimized crystal structure of TcTeSe2.

```
TcTeSe2
1.0
-2.022 -1.977 4.368
2.157 -7.196 -1.799
6.155 -0.739 -0.592
Tc Te Se
2 2 4
Direct
0.949 0.406 0.788
0.566 0.407 0.021
0.057 0.185 0.548
0.458 0.628 0.261
0.664 0.165 0.891
0.181 0.647 0.578
0.334 0.166 0.230
0.851 0.648 0.918
```

Computed properties:
The final energy is -5.308 eV per atom. As for the space group: No. 2. The volume is 24.992 A^3/atom.

---

VASP calculation (PBE) on an optimized crystal structure of Ca2AlAs.

```
Ca2AlAs
1.0
-5.010 1.804 -3.228
-3.186 -4.034 -3.515
2.313 0.439 5.765
Ca Al As
2 1 1
Direct
0.250 0.750 0.500
0.000 0.000 0.000
0.500 0.500 0.000
0.750 0.250 0.500
```

Computed properties:
As for the space group: No. 119. The calculation puts the energy relative to the elements at -0.41 eV per atom. As for the distance to the lowest polymorph of the same formula: 107 kJ/mol of formula units. The volume is 25.418 A^3/atom.

---

VASP calculation (PBE) on an optimized crystal structure of CeTm2N.

```
CeTm2N
1.0
3.327 0.000 0.000
1.664 2.881 0.000
1.664 0.960 9.395
Ce N Tm
1 1 2
Direct
0.000 0.000 0.000
0.500 0.500 0.500
0.881 0.881 0.357
0.119 0.119 0.643
```

Computed properties:
As for the space group: No. 166. As for the distance to the lowest polymorph of the same formula: 0 kJ/mol of formula units. The volume is 22.515 A^3/atom.

---

VASP calculation (PBE) on an optimized crystal structure of KRbIn2Ir.

```
KRbIn2Ir
1.0
-0.845 -2.580 -4.492
4.960 0.910 -1.456
1.810 -5.424 2.775
Ir Rb In K
1 1 2 1
Direct
0.000 0.000 0.000
0.000 0.000 0.500
0.500 0.000 0.000
0.000 0.500 0.000
0.500 0.500 0.500
```

Computed properties:
As for the space group: No. 123. The calculation puts the energy relative to the elements at 0.03 eV per atom. As for the distance to the lowest polymorph of the same formula: 24 kJ/mol of formula units. The volume is 35.020 A^3/atom.

---

VASP calculation (PBE) on an optimized crystal structure of Sc2In2Si.

```
Sc2In2Si
1.0
7.034 0.000 0.000
0.000 7.034 0.000
0.000 0.000 4.671
In Sc Si
4 4 2
Direct
0.151 0.651 0.500
0.849 0.349 0.500
0.349 0.151 0.500
0.651 0.849 0.500
0.661 0.161 0.000
0.339 0.839 0.000
0.839 0.661 0.000
0.161 0.339 0.000
0.000 0.000 0.000
0.500 0.500 0.000
```

Computed properties:
As for the space group: No. 127. As for the distance to the lowest polymorph of the same formula: 0 kJ/mol of formula units. The volume is 23.113 A^3/atom.

---

VASP calculation (PBE) on an optimized crystal structure of InGe2O.

```
InGe2O
1.0
-4.989 -0.026 -0.420
0.294 -3.783 -3.266
-2.747 -6.270 3.178
Ge In O
4 2 2
Direct
0.375 0.514 0.750
0.486 0.125 0.250
0.875 0.736 0.750
0.264 0.625 0.250
0.000 0.000 0.000
0.750 0.250 0.500
0.500 0.500 0.000
0.250 0.750 0.500
```

Computed properties:
As for the space group: No. 122. As for the distance to the lowest polymorph of the same formula: 0 kJ/mol of formula units. The volume is 20.887 A^3/atom.

---

VASP calculation (PBE) on an optimized crystal structure of HoEr4Ag2.

```
HoEr4Ag2
1.0
-3.416 2.430 -2.683
-3.748 -2.503 -2.112
-7.842 1.284 6.531
Ag Er Ho
2 4 1
Direct
0.399 0.399 0.803
0.601 0.601 0.197
0.896 0.896 0.311
0.703 0.703 0.892
0.297 0.297 0.108
0.104 0.104 0.689
0.500 0.500 0.500
```

Computed properties:
As for the space group: No. 166. The calculation puts the energy relative to the elements at 0.16 eV per atom. The volume is 30.271 A^3/atom.

---

Among the records above, which one has the highest volume? KRbIn2Ir

---

The lowest volume belongs to which entry? KFeP2

---

Which value of volume does entry 4 give? 18.040 A^3/atom

---

Which formula does entry 12 have? HoEr4Ag2